First-principles (PBE) data for HoPa2SbN6 after structural relaxation, as listed in Alexandria.

The structure belongs to space group R3 (No. 146, hexagonal axes); the cell edges are 5.8244, 5.8244 and 15.0208 Å and the angles 90.00°, 90.00° and 120.00°. The asymmetric unit holds Ho at (0.0000, 0.0000, 0.0000), Pa at (0.0000, 0.0000, 0.2779), Pa at (0.0000, 0.0000, 0.7770), Sb at (0.0000, 0.0000, 0.4882), N at (0.0075, 0.7209, 0.3839) and N at (0.0394, 0.3505, 0.5476).

The magnetization comes out at 0.0 μB/cell. The total energy comes out at -262.6 eV per cell. The value obtained for the formation energy (no corrections) is -987 meV/atom.